# 1
10
Lattice="-0.780 -3.170 -1.575 7.545 -1.950 -3.984 4.726 -5.918 5.400" Properties=species:S:1:pos:R:3 comment="TmScCl3 (PBE, relaxed)" sg="No. 12" density_g_cm3=3.9 raw_formation_energy_mev_per_atom=-1785.9 pbc="T T T"
Sc 5.929 -3.652 -3.929
Sc 5.561 -7.386 3.770
Cl 6.345 -2.919 -1.439
Cl 9.358 -7.273 1.661
Cl 2.132 -3.765 -1.820
Cl 5.145 -8.120 1.280
Cl 8.408 -5.676 -1.082
Cl 3.083 -5.362 0.923
Tm 8.116 -6.349 -3.754
Tm 3.374 -4.689 3.595

# 2
5
Lattice="-2.667 -2.948 1.721 2.936 -0.867 3.065 -1.742 3.054 2.532" Properties=species:S:1:pos:R:3 comment="ScV3Cl (PBE, relaxed)" sg="No. 221" density_g_cm3=4.8 dos_ef_per_ev_cell=6.752 raw_formation_energy_mev_per_atom=324.1 pbc="T T T"
Sc -0.737 -0.381 3.659
V -0.871 1.527 1.266
V -1.334 -1.474 0.860
V 1.468 -0.433 1.533
Cl 0.000 0.000 0.000

# 3
8
Lattice="4.535 0.000 0.000 0.000 4.535 0.000 2.267 2.267 7.996" Properties=species:S:1:pos:R:3 comment="ScVCl2 (PBE, relaxed)" sg="No. 122" density_g_cm3=3.4 dos_ef_per_ev_cell=6.476 raw_formation_energy_mev_per_atom=-506.7 pbc="T T T"
Sc 2.267 2.267 0.000
Sc 2.267 4.535 3.998
Cl 3.401 3.365 5.997
Cl 5.668 5.704 5.997
Cl 1.097 3.401 1.999
Cl 3.437 1.134 1.999
V 4.535 2.267 3.998
V 0.000 0.000 0.000

# 4
5
Lattice="4.809 0.000 0.000 0.000 4.809 0.000 0.000 0.000 4.809" Properties=species:S:1:pos:R:3 comment="ScV3Cl (PBE, relaxed)" sg="No. 221" density_g_cm3=3.5 dos_ef_per_ev_cell=8.680 raw_formation_energy_mev_per_atom=1818.8 pbc="T T T"
V 2.405 0.000 0.000
V 0.000 2.405 0.000
V 0.000 0.000 2.405
Cl 2.405 2.405 2.405
Sc 0.000 0.000 0.000

# 5
5
Lattice="4.892 0.000 0.000 0.000 4.892 0.000 0.000 0.000 4.892" Properties=species:S:1:pos:R:3 comment="ScVCl3 (PBE, relaxed)" sg="No. 221" density_g_cm3=2.9 dos_ef_per_ev_cell=6.523 raw_formation_energy_mev_per_atom=-596.1 pbc="T T T"
V 0.000 0.000 0.000
Cl 0.000 0.000 2.446
Cl 2.446 0.000 0.000
Cl 0.000 2.446 0.000
Sc 2.446 2.446 2.446

# 6
5
Lattice="5.010 0.000 0.000 0.000 5.010 0.000 0.000 0.000 5.010" Properties=species:S:1:pos:R:3 comment="ScVCl3 (PBE, relaxed)" sg="No. 221" density_g_cm3=2.7 dos_ef_per_ev_cell=9.883 raw_formation_energy_mev_per_atom=-693.2 pbc="T T T"
Cl 0.000 0.000 2.505
Cl 2.505 0.000 0.000
Cl 0.000 2.505 0.000
Sc 0.000 0.000 0.000
V 2.505 2.505 2.505

# 7
4
Lattice="-5.346 2.145 7.268 -5.364 -1.216 7.466 -2.825 0.536 8.817" Properties=species:S:1:pos:R:3 comment="Sc2VCl (PBE, relaxed)" sg="No. 166" density_g_cm3=3.3 dos_ef_per_ev_cell=3.855 raw_formation_energy_mev_per_atom=-256.4 pbc="T T T"
Cl 0.000 0.000 0.000
V -6.768 0.733 11.776
Sc -12.300 1.331 21.402
Sc -1.235 0.134 2.149

# 8
4
Lattice="-8.501 0.155 -1.746 -8.010 -3.089 -1.278 -8.508 -1.096 1.323" Properties=species:S:1:pos:R:3 comment="ScVCl2 (PBE, relaxed)" sg="No. 166" density_g_cm3=3.4 dos_ef_per_ev_cell=4.148 raw_formation_energy_mev_per_atom=-671.9 pbc="T T T"
Cl -2.434 -0.392 -0.166
Cl -22.585 -3.638 -1.536
V 0.000 0.000 0.000
Sc -12.510 -2.015 -0.851